Model P:
First-principles (PBE) data for a relaxed Ca2PrTl crystal, as listed in Alexandria.

a = 3.6652 Å, b = 3.6652 Å, c = 36.7068 Å
α = 90.00°, β = 90.00°, γ = 120.00°
Element x y z (fractional)
1 Ca 0.0000 0.0000 0.0975
2 Ca 0.0000 0.0000 0.9025
3 Ca 0.3333 0.6667 0.5691
4 Ca 0.3333 0.6667 0.7642
5 Ca 0.6667 0.3333 0.2358
6 Ca 0.6667 0.3333 0.4309
7 Pr 0.0000 0.0000 0.0000
8 Pr 0.3333 0.6667 0.6667
9 Pr 0.6667 0.3333 0.3333
10 Tl 0.0000 0.0000 0.5000
11 Tl 0.3333 0.6667 0.1667
12 Tl 0.6667 0.3333 0.8333



Model Q:
First-principles (PBE) data for a relaxed Ca2PrTl crystal, as listed in Alexandria.

a = 4.9614 Å, b = 4.9614 Å, c = 5.3238 Å
α = 90.00°, β = 90.00°, γ = 90.00°
Element x y z (fractional)
1 Ca 0.0000 0.5000 0.0000
2 Ca 0.5000 0.0000 0.0000
3 Pr 0.0000 0.0000 0.5000
4 Tl 0.5000 0.5000 0.5000



Model R:
First-principles (PBE) data for a relaxed Ca2PrTl crystal, as listed in Alexandria.

a = 5.5700 Å, b = 9.6793 Å, c = 10.1920 Å
α = 90.00°, β = 90.00°, γ = 90.00°
Element x y z (fractional)
1 Ca 0.0000 0.1661 0.0702
2 Ca 0.0000 0.1661 0.4298
3 Ca 0.0000 0.8339 0.5702
4 Ca 0.0000 0.8339 0.9298
5 Ca 0.5000 0.3339 0.5702
6 Ca 0.5000 0.3339 0.9298
7 Ca 0.5000 0.6661 0.0702
8 Ca 0.5000 0.6661 0.4298
9 Pr 0.0000 0.4996 0.2500
10 Pr 0.0000 0.5004 0.7500
11 Pr 0.5000 0.9996 0.2500
12 Pr 0.5000 0.0004 0.7500
13 Tl 0.0000 0.1680 0.7500
14 Tl 0.0000 0.8320 0.2500
15 Tl 0.5000 0.3320 0.2500
16 Tl 0.5000 0.6680 0.7500



Model S:
First-principles (PBE) data for a relaxed Ca2PrTl crystal, as listed in Alexandria.

a = 3.7812 Å, b = 3.7812 Å, c = 34.0163 Å
α = 90.00°, β = 90.00°, γ = 120.00°
Element x y z (fractional)
1 Ca 0.0000 0.0000 0.0000
2 Ca 0.0000 0.0000 0.1864
3 Ca 0.3333 0.6667 0.6667
4 Ca 0.3333 0.6667 0.8530
5 Ca 0.6667 0.3333 0.3333
6 Ca 0.6667 0.3333 0.5197
7 Pr 0.0000 0.0000 0.4275
8 Pr 0.3333 0.6667 0.0941
9 Pr 0.6667 0.3333 0.7608
10 Tl 0.0000 0.0000 0.5930
11 Tl 0.3333 0.6667 0.2597
12 Tl 0.6667 0.3333 0.9264



We find model Q to be the most stable, with the next structure 23 meV per atom higher.



Model P:
First-principles (PBE) data for a relaxed CaPrTl crystal, as listed in Alexandria.

a = 5.3822 Å, b = 5.3822 Å, c = 7.9574 Å
α = 90.00°, β = 90.00°, γ = 120.00°
Element x y z (fractional)
1 Ca 0.3333 0.6667 0.3779
2 Ca 0.6667 0.3333 0.6221
3 Pr 0.3333 0.6667 0.8926
4 Pr 0.6667 0.3333 0.1074
5 Tl 0.0000 0.0000 0.2229
6 Tl 0.0000 0.0000 0.7771



Model Q:
First-principles (PBE) data for a relaxed CaPrTl crystal, as listed in Alexandria.

a = 9.5773 Å, b = 9.6260 Å, c = 5.3953 Å
α = 90.00°, β = 90.00°, γ = 90.00°
Element x y z (fractional)
1 Ca 0.0000 0.1836 0.0000
2 Ca 0.0000 0.8164 0.0000
3 Ca 0.5000 0.3164 0.0000
4 Ca 0.5000 0.6836 0.0000
5 Pr 0.1773 0.5000 0.5000
6 Pr 0.3227 0.0000 0.5000
7 Pr 0.6773 0.0000 0.5000
8 Pr 0.8227 0.5000 0.5000
9 Tl 0.0000 0.0000 0.5000
10 Tl 0.0000 0.5000 0.0000
11 Tl 0.5000 0.0000 0.0000
12 Tl 0.5000 0.5000 0.5000



Model R:
First-principles (PBE) data for a relaxed CaPrTl crystal, as listed in Alexandria.

a = 5.3819 Å, b = 5.3819 Å, c = 3.9061 Å
α = 90.00°, β = 90.00°, γ = 120.00°
Element x y z (fractional)
1 Ca 0.0000 0.0000 0.0000
2 Pr 0.6667 0.3333 0.5430
3 Tl 0.3333 0.6667 0.2606



We find model P to be the most stable, with the next structure 19 meV per atom higher.



Model P:
First-principles (PBE) data for a relaxed CaPrTl crystal, as listed in Alexandria.

a = 5.5619 Å, b = 5.5619 Å, c = 7.0433 Å
α = 90.00°, β = 90.00°, γ = 120.00°
Element x y z (fractional)
1 Ca 0.0000 0.0000 0.0000
2 Ca 0.0000 0.0000 0.5000
3 Pr 0.3333 0.6667 0.2500
4 Pr 0.6667 0.3333 0.7500
5 Tl 0.3333 0.6667 0.7500
6 Tl 0.6667 0.3333 0.2500



Model Q:
First-principles (PBE) data for a relaxed CaPrTl crystal, as listed in Alexandria.

a = 7.6047 Å, b = 7.6047 Å, c = 7.6047 Å
α = 90.00°, β = 90.00°, γ = 90.00°
Element x y z (fractional)
1 Ca 0.0000 0.0000 0.0000
2 Ca 0.0000 0.5000 0.5000
3 Ca 0.5000 0.0000 0.5000
4 Ca 0.5000 0.5000 0.0000
5 Pr 0.0000 0.0000 0.5000
6 Pr 0.0000 0.5000 0.0000
7 Pr 0.5000 0.0000 0.0000
8 Pr 0.5000 0.5000 0.5000
9 Tl 0.2500 0.2500 0.2500
10 Tl 0.2500 0.7500 0.7500
11 Tl 0.7500 0.2500 0.7500
12 Tl 0.7500 0.7500 0.2500



We find model P to be the most stable, with the next structure 189 meV per atom higher.



Model P:
First-principles (PBE) data for a relaxed CaPr3Tl2 crystal, as listed in Alexandria.

a = 5.5807 Å, b = 9.7447 Å, c = 7.0081 Å
α = 90.00°, β = 90.00°, γ = 90.00°
Element x y z (fractional)
1 Ca 0.0000 0.0012 0.0000
2 Ca 0.0000 0.9988 0.5000
3 Pr 0.0000 0.3330 0.7482
4 Pr 0.0000 0.6670 0.2482
5 Pr 0.5000 0.1658 0.2511
6 Pr 0.5000 0.4990 0.9993
7 Pr 0.5000 0.5010 0.4993
8 Pr 0.5000 0.8342 0.7511
9 Tl 0.0000 0.3325 0.2492
10 Tl 0.0000 0.6675 0.7492
11 Tl 0.5000 0.1643 0.7501
12 Tl 0.5000 0.8357 0.2501



Model Q:
First-principles (PBE) data for a relaxed CaPr3Tl2 crystal, as listed in Alexandria.

a = 8.9258 Å, b = 8.9258 Å, c = 9.1451 Å
α = 110.46°, β = 110.46°, γ = 36.51°
Element x y z (fractional)
1 Ca 0.1456 0.1456 0.2193
2 Ca 0.8544 0.8544 0.7807
3 Pr 0.0556 0.0556 0.7208
4 Pr 0.3118 0.3118 0.0052
5 Pr 0.3827 0.3827 0.4690
6 Pr 0.6173 0.6173 0.5310
7 Pr 0.6882 0.6882 0.9948
8 Pr 0.9444 0.9444 0.2792
9 Tl 0.2244 0.2244 0.6195
10 Tl 0.4767 0.4767 0.8278
11 Tl 0.5233 0.5233 0.1722
12 Tl 0.7756 0.7756 0.3805



We find model P to be the most stable, with the next structure 144 meV per atom higher.



Model P:
First-principles (PBE) data for a relaxed Ca3Pr2Tl4 crystal, as listed in Alexandria.

a = 10.2406 Å, b = 10.2406 Å, c = 8.3918 Å
α = 90.00°, β = 90.00°, γ = 139.42°
Element x y z (fractional)
1 Ca 0.0000 0.0000 0.0000
2 Ca 0.0132 0.4868 0.2500
3 Ca 0.4868 0.0132 0.7500
4 Ca 0.5000 0.5000 0.5000
5 Ca 0.5132 0.9868 0.2500
6 Ca 0.9868 0.5132 0.7500
7 Pr 0.0914 0.9086 0.4087
8 Pr 0.4086 0.5914 0.9087
9 Pr 0.5914 0.4086 0.0913
10 Pr 0.9086 0.0914 0.5913
11 Tl 0.1623 0.8377 0.0348
12 Tl 0.1817 0.3183 0.2500
13 Tl 0.3183 0.1817 0.7500
14 Tl 0.3377 0.6623 0.5348
15 Tl 0.6623 0.3377 0.4652
16 Tl 0.6817 0.8183 0.2500
17 Tl 0.8183 0.6817 0.7500
18 Tl 0.8377 0.1623 0.9652



Model Q:
First-principles (PBE) data for a relaxed Ca3Pr2Tl4 crystal, as listed in Alexandria.

a = 5.4976 Å, b = 5.4976 Å, c = 10.6969 Å
α = 90.06°, β = 90.06°, γ = 59.95°
Element x y z (fractional)
1 Ca 0.0000 0.0000 0.0000
2 Ca 0.3337 0.3337 0.4197
3 Ca 0.6663 0.6663 0.5803
4 Pr 0.3333 0.3333 0.7962
5 Pr 0.6667 0.6667 0.2038
6 Tl 0.0006 0.0006 0.3417
7 Tl 0.3334 0.3334 0.1076
8 Tl 0.6666 0.6666 0.8924
9 Tl 0.9994 0.9994 0.6583



We find model Q to be the most stable, with the next structure 69 meV per atom higher.



Model P:
First-principles (PBE) data for a relaxed CaPrTm crystal, as listed in Alexandria.

a = 3.6589 Å, b = 3.6589 Å, c = 9.1434 Å
α = 90.00°, β = 90.00°, γ = 120.00°
Element x y z (fractional)
1 Ca 0.0000 0.0000 0.0000
2 Pr 0.3333 0.6667 0.6428
3 Tm 0.6667 0.3333 0.3375



Model Q:
First-principles (PBE) data for a relaxed CaPrTm crystal, as listed in Alexandria.

a = 4.8869 Å, b = 4.8869 Å, c = 9.1124 Å
α = 90.00°, β = 90.00°, γ = 90.00°
Element x y z (fractional)
1 Ca 0.2500 0.7500 0.0000
2 Ca 0.7500 0.2500 0.0000
3 Pr 0.2500 0.2500 0.3252
4 Pr 0.7500 0.7500 0.6748
5 Tm 0.2500 0.2500 0.6914
6 Tm 0.7500 0.7500 0.3086



We find model P to be the most stable, with the next structure 291 meV per atom higher.